# 1
# Pm5Ge2Pt12

A relaxed Pm5Ge2Pt12 crystal (PBE, Alexandria via LeMat-Bulk).

```
Pm5Ge2Pt12
1.0
-6.008 2.823 0.466
-3.071 -6.251 -1.726
-2.659 -4.701 6.845
Pm Ge Pt
5 2 12
direct
0.586 0.762 0.476
0.060 0.689 0.622
0.500 0.000 0.000
0.940 0.311 0.378
0.414 0.238 0.524
0.000 0.719 0.000
0.000 0.281 0.000
0.071 0.103 0.794
0.740 0.340 0.695
0.740 0.965 0.695
0.349 0.403 0.804
0.349 0.794 0.804
0.712 0.557 0.887
0.288 0.443 0.113
0.651 0.597 0.196
0.651 0.206 0.196
0.260 0.660 0.305
0.260 0.035 0.305
0.929 0.897 0.206
```

## Properties
As for the crystal system: monoclinic. As for the volume: 19.8 A^3/atom. The formation energy comes out at -888 meV/atom.

---

# 2
# Li2LaCd2Ag2

A relaxed Li2LaCd2Ag2 crystal (PBE, Alexandria via LeMat-Bulk).

```
Li2LaCd2Ag2
1.0
4.853 0.000 0.000
-2.427 4.169 -0.426
0.000 -2.165 7.829
Li La Cd Ag
2 1 2 2
direct
0.148 0.295 0.437
0.852 0.705 0.563
0.000 0.000 0.000
0.566 0.132 0.709
0.434 0.868 0.291
0.743 0.485 0.221
0.257 0.515 0.779
```

## Properties
As for the crystal system: monoclinic. As for the volume: 22.0 A^3/atom. The formation energy comes out at -246 meV/atom.

---

# 3
# Li3MgBi2

A relaxed Li3MgBi2 crystal (PBE, Alexandria via LeMat-Bulk).

```
Li3MgBi2
1.0
-4.508 -2.935 -2.838
1.689 -5.240 2.737
-3.259 5.625 5.875
Li Mg Bi
6 2 4
direct
0.416 0.676 0.352
0.584 0.324 0.648
0.063 0.824 0.648
0.937 0.176 0.352
0.500 0.750 0.000
0.500 0.250 0.000
0.000 0.250 0.000
0.000 0.750 0.000
0.393 0.132 0.264
0.607 0.868 0.736
0.129 0.368 0.736
0.871 0.632 0.264
```

## Properties
As for the crystal system: orthorhombic. As for the volume: 23.7 A^3/atom. The formation energy comes out at -381 meV/atom.

---

# 4
# Tm6Te5As

A relaxed Tm6Te5As crystal (PBE, Alexandria via LeMat-Bulk).

```
Tm6Te5As
1.0
-0.933 4.935 -5.449
-1.761 -7.116 -1.087
-5.576 1.980 4.411
As Tm Te
1 6 5
direct
0.000 0.000 0.000
0.926 0.621 0.772
0.379 0.074 0.228
0.777 0.777 0.238
0.223 0.223 0.762
0.621 0.926 0.772
0.074 0.379 0.228
0.824 0.176 0.500
0.664 0.336 0.000
0.500 0.500 0.500
0.336 0.664 0.000
0.176 0.824 0.500
```

## Properties
As for the crystal system: monoclinic. As for the volume: 27.6 A^3/atom. The formation energy from raw total energies is -1.271 eV per atom.

---

# 5
# Pm2NpPaAs4

A relaxed Pm2NpPaAs4 crystal (PBE, Alexandria via LeMat-Bulk).

```
Pm2NpPaAs4
1.0
-3.638 1.425 1.434
0.955 -3.694 6.093
2.877 6.622 0.719
Pm Np Pa As
2 1 1 4
direct
0.500 0.000 0.500
0.000 0.500 0.500
0.500 0.500 0.000
0.000 0.000 0.000
0.500 0.244 0.240
0.500 0.756 0.760
0.000 0.252 0.761
0.000 0.748 0.239
```

## Properties
As for the crystal system: monoclinic. As for the volume: 25.6 A^3/atom. The formation energy comes out at -1203 meV/atom.

---

# 6
# La2MgAl3Pt12

A relaxed La2MgAl3Pt12 crystal (PBE, Alexandria via LeMat-Bulk).

```
La2MgAl3Pt12
1.0
-2.820 1.020 7.251
1.951 -5.397 5.351
5.131 2.180 5.521
La Mg Al Pt
2 1 3 12
direct
0.616 0.616 0.616
0.384 0.384 0.384
0.000 0.000 0.000
0.500 0.000 0.000
0.000 0.500 0.000
0.000 0.000 0.500
0.369 0.369 0.887
0.864 0.864 0.382
0.382 0.864 0.864
0.887 0.369 0.369
0.864 0.382 0.864
0.369 0.887 0.369
0.631 0.631 0.113
0.136 0.136 0.618
0.618 0.136 0.136
0.113 0.631 0.631
0.136 0.618 0.136
0.631 0.113 0.631
```

## Properties
As for the crystal system: trigonal. As for the volume: 20.3 A^3/atom. The formation energy comes out at -565 meV/atom.

---

# 7
# NaAlSn

A relaxed NaAlSn crystal (PBE, Alexandria via LeMat-Bulk).

```
NaAlSn
1.0
7.933 0.000 0.000
0.000 4.717 0.000
0.000 0.000 8.032
Na Sn Al
4 4 4
direct
0.501 0.250 0.179
0.999 0.750 0.679
0.499 0.750 0.821
0.001 0.250 0.321
0.301 0.250 0.598
0.199 0.750 0.098
0.699 0.750 0.402
0.801 0.250 0.902
0.660 0.250 0.585
0.840 0.750 0.085
0.340 0.750 0.415
0.160 0.250 0.915
```

## Properties
As for the crystal system: orthorhombic. As for the volume: 25.0 A^3/atom. The formation energy comes out at -114 meV/atom.

---

# 8
# BaLi2P2O7

A relaxed BaLi2P2O7 crystal (PBE, Alexandria via LeMat-Bulk).

```
BaLi2P2O7
1.0
-4.253 -2.780 -5.034
6.462 -2.863 1.102
-5.430 -8.872 9.362
Ba Li O P
4 8 28 8
direct
0.288 0.339 0.121
0.661 0.712 0.379
0.712 0.661 0.879
0.339 0.288 0.621
0.269 0.731 0.250
0.731 0.269 0.750
0.264 0.736 0.750
0.736 0.264 0.250
0.302 0.772 0.991
0.228 0.698 0.509
0.698 0.228 0.009
0.772 0.302 0.491
0.820 0.166 0.134
0.834 0.180 0.366
0.180 0.834 0.866
0.166 0.820 0.634
0.613 0.864 0.020
0.136 0.387 0.480
0.387 0.136 0.980
0.864 0.613 0.520
0.561 0.783 0.199
0.217 0.439 0.301
0.439 0.217 0.801
0.783 0.561 0.699
0.926 0.888 0.122
0.112 0.074 0.378
0.074 0.112 0.878
0.888 0.926 0.622
0.137 0.689 0.114
0.311 0.863 0.386
0.863 0.311 0.886
0.689 0.137 0.614
0.739 0.509 0.062
0.491 0.261 0.438
0.261 0.491 0.938
0.509 0.739 0.562
0.846 0.579 0.239
0.421 0.154 0.261
0.154 0.421 0.761
0.579 0.846 0.739
0.714 0.924 0.119
0.076 0.286 0.381
0.286 0.076 0.881
0.924 0.714 0.619
0.910 0.649 0.134
0.351 0.090 0.366
0.090 0.351 0.866
0.649 0.910 0.634
```

## Properties
As for the crystal system: monoclinic. The calculation puts the energy above the most stable polymorph in this dataset at 0.000 eV/atom. As for the volume: 13.0 A^3/atom. The formation energy from raw total energies is -2.552 eV per atom.

---

# 9
# Cr2AgMo

A relaxed Cr2AgMo crystal (PBE, Alexandria via LeMat-Bulk).

```
Cr2AgMo
1.0
2.637 0.011 0.000
-0.889 2.482 0.000
0.000 0.000 8.732
Ag Cr Mo
1 2 1
direct
0.500 0.500 0.761
0.000 0.000 0.029
0.500 0.500 0.234
0.000 0.000 0.475
```

## Properties
As for the crystal system: orthorhombic. The calculation puts the energy above the most stable polymorph in this dataset at 0.000 eV/atom. As for the volume: 14.3 A^3/atom. The formation energy comes out at 348 meV/atom.

---

# 10
# Zn3CuPb2Au12

A relaxed Zn3CuPb2Au12 crystal (PBE, Alexandria via LeMat-Bulk).

```
Zn3CuPb2Au12
1.0
-7.450 2.450 3.076
-3.301 -3.456 6.937
-0.637 4.279 7.229
Zn Cu Pb Au
3 1 2 12
direct
0.500 0.000 0.000
0.000 0.500 0.000
0.000 0.000 0.500
0.000 0.000 0.000
0.632 0.632 0.632
0.368 0.368 0.368
0.385 0.385 0.862
0.876 0.876 0.377
0.377 0.876 0.876
0.862 0.385 0.385
0.876 0.377 0.876
0.385 0.862 0.385
0.615 0.615 0.138
0.124 0.124 0.623
0.623 0.124 0.124
0.138 0.615 0.615
0.124 0.623 0.124
0.615 0.138 0.615
```

## Properties
As for the crystal system: trigonal. As for the volume: 22.5 A^3/atom. The formation energy comes out at 76 meV/atom.

---

# 11
# InPtRh2

A relaxed InPtRh2 crystal (PBE, Alexandria via LeMat-Bulk).

```
InPtRh2
1.0
2.895 0.000 0.000
0.000 3.826 0.000
0.000 0.000 5.773
In Pt Rh
1 1 2
direct
0.500 0.500 0.000
0.500 0.500 0.500
0.000 0.000 0.739
0.000 0.000 0.261
```

## Properties
As for the crystal system: orthorhombic. As for the volume: 16.0 A^3/atom. The formation energy comes out at -149 meV/atom.

---

# 12
# K4TlCd3F12

A relaxed K4TlCd3F12 crystal (PBE, Alexandria via LeMat-Bulk).

```
K4TlCd3F12
1.0
7.846 0.000 0.000
-2.615 7.397 0.000
-2.615 -3.699 6.406
K Tl Cd F
4 1 3 12
direct
0.500 0.500 0.500
0.000 0.000 0.500
0.500 0.000 0.000
0.000 0.500 0.000
0.000 0.000 0.000
0.500 0.000 0.500
0.500 0.500 0.000
0.000 0.500 0.500
0.250 0.500 0.750
0.743 0.000 0.743
0.257 0.000 0.257
0.750 0.500 0.250
0.743 0.743 0.000
0.257 0.257 0.000
0.750 0.250 0.500
0.250 0.750 0.500
0.500 0.250 0.750
0.000 0.743 0.743
0.500 0.750 0.250
0.000 0.257 0.257
```

## Properties
As for the crystal system: cubic. As for the volume: 18.6 A^3/atom. The formation energy from raw total energies is -2.344 eV per atom.

---

# 13
# YRe2Mo

A relaxed YRe2Mo crystal (PBE, Alexandria via LeMat-Bulk).

```
YRe2Mo
1.0
-1.437 1.546 -1.867
-1.356 -0.098 2.468
4.555 7.622 2.804
Mo Re Y
1 2 1
direct
0.500 0.500 0.750
0.000 0.000 0.978
0.000 0.000 0.522
0.500 0.500 0.250
```

## Properties
As for the crystal system: orthorhombic. The calculation puts the energy above the most stable polymorph in this dataset at 0.153 eV/atom. As for the volume: 17.3 A^3/atom. The formation energy comes out at 333 meV/atom.

---

# 14
# Ca2PuIn3

A relaxed Ca2PuIn3 crystal (PBE, Alexandria via LeMat-Bulk).

```
Ca2PuIn3
1.0
-0.432 -3.685 -0.695
2.422 -0.808 2.781
-8.986 -0.402 7.710
Ca Pu In
2 1 3
direct
0.500 0.500 0.835
0.500 0.500 0.165
0.500 0.500 0.500
0.000 0.000 0.000
0.000 0.000 0.666
0.000 0.000 0.334
```

## Properties
As for the crystal system: tetragonal. As for the volume: 28.1 A^3/atom. The formation energy comes out at -333 meV/atom.

---

# 15
# SrCeAgPd

A relaxed SrCeAgPd crystal (PBE, Alexandria via LeMat-Bulk).

```
SrCeAgPd
1.0
5.276 0.000 0.000
2.638 4.569 0.000
2.638 1.523 4.308
Sr Pd Ag Ce
1 1 1 1
direct
0.500 0.500 0.500
0.750 0.750 0.750
0.250 0.250 0.250
0.000 0.000 0.000
```

## Properties
As for the crystal system: cubic. As for the volume: 26.0 A^3/atom. The formation energy comes out at -312 meV/atom.

---

# 16
# KNb3Bi

A relaxed KNb3Bi crystal (PBE, Alexandria via LeMat-Bulk).

```
KNb3Bi
1.0
-1.213 -5.092 -1.068
5.113 -1.370 0.722
-0.962 -0.858 5.185
K Nb Bi
1 3 1
direct
0.500 0.500 0.500
0.000 0.500 0.000
0.000 0.000 0.500
0.500 0.000 0.000
0.000 0.000 0.000
```

## Properties
As for the crystal system: cubic. The calculation puts the energy above the most stable polymorph in this dataset at 0.000 eV/atom. As for the volume: 30.5 A^3/atom. The formation energy comes out at 1883 meV/atom.

---

# 17
# Mg2SnPb3

A relaxed Mg2SnPb3 crystal (PBE, Alexandria via LeMat-Bulk).

```
Mg2SnPb3
1.0
-0.065 -3.971 -2.706
3.087 -2.090 3.033
-12.727 -2.135 7.735
Mg Sn Pb
4 2 6
direct
0.750 0.250 0.500
0.247 0.753 0.000
0.250 0.750 0.500
0.753 0.247 0.000
0.680 0.681 0.360
0.320 0.319 0.640
0.329 0.328 0.149
0.179 0.180 0.851
0.671 0.672 0.851
0.821 0.820 0.149
0.175 0.176 0.351
0.825 0.824 0.649
```

## Properties
As for the crystal system: monoclinic. As for the volume: 28.2 A^3/atom. The formation energy comes out at -30 meV/atom.

---

# 18
# LaTb2Nd4Ho

A relaxed LaTb2Nd4Ho crystal (PBE, Alexandria via LeMat-Bulk).

```
LaTb2Nd4Ho
1.0
3.657 0.000 0.000
0.000 11.916 -1.863
0.000 2.055 5.940
La Tb Nd Ho
1 2 4 1
direct
0.500 0.500 0.000
0.000 0.000 0.000
0.500 0.000 0.500
0.000 0.754 0.748
0.000 0.246 0.252
0.500 0.751 0.250
0.500 0.249 0.750
0.000 0.500 0.500
```

## Properties
As for the crystal system: monoclinic. As for the volume: 34.1 A^3/atom. The formation energy comes out at 17 meV/atom.

---

# 19
# CeDyCoIr

A relaxed CeDyCoIr crystal (PBE, Alexandria via LeMat-Bulk).

```
CeDyCoIr
1.0
-4.654 -0.843 1.005
-1.246 -3.872 2.615
-1.637 0.557 4.516
Ir Co Ce Dy
1 1 1 1
direct
0.250 0.250 0.250
0.750 0.750 0.750
0.500 0.500 0.500
0.000 0.000 0.000
```

## Properties
As for the crystal system: cubic. As for the volume: 20.0 A^3/atom. The formation energy comes out at -431 meV/atom.

---

# 20
# TiCo4Ge2

A relaxed TiCo4Ge2 crystal (PBE, Alexandria via LeMat-Bulk).

```
TiCo4Ge2
1.0
-1.385 -3.318 2.170
3.676 -1.935 -0.613
3.327 -0.131 5.986
Ge Co Ti
2 4 1
direct
0.380 0.380 0.241
0.620 0.620 0.759
0.191 0.191 0.618
0.809 0.809 0.382
0.000 0.500 0.000
0.500 0.000 0.000
0.000 0.000 0.000
```

## Properties
As for the crystal system: tetragonal. The calculation puts the energy above the most stable polymorph in this dataset at 0.913 eV/atom. As for the volume: 15.5 A^3/atom. The formation energy comes out at 712 meV/atom.

---

# 21
# ErSn2Pd

A relaxed ErSn2Pd crystal (PBE, Alexandria via LeMat-Bulk).

```
ErSn2Pd
1.0
3.397 0.000 0.000
1.698 2.942 0.000
1.698 0.981 9.238
Sn Pd Er
2 1 1
direct
0.739 0.739 0.784
0.261 0.261 0.216
0.000 0.000 0.000
0.500 0.500 0.500
```

## Properties
As for the crystal system: trigonal. As for the volume: 23.1 A^3/atom. The formation energy comes out at -350 meV/atom.